Compound: Ag2RuF
Source: the Alexandria database
Functional: PBE
Structure: relaxed

The calculation puts the energy at -15.42 eV/f.u. The calculation puts the density of states at the Fermi level at 6.32 states/eV/f.u. The energy relative to the elements, uncorrected comes out at 0.358 eV/atom. The calculation puts the energy relative to the lowest polymorph listed for this composition at 564 meV/atom. The crystal system is tetragonal.

The structure belongs to space group I-42d (No. 122); the cell edges are 7.035, 7.035 and 5.405 Å and the angles 90.00°, 90.00° and 90.00°. Symmetry generates all atoms from Ag at (0.208, 0.250, 0.125), Ru at (0.000, 0.000, 0.500) and F at (0.000, 0.000, 0.000).

Compound: Ag2RuF
Source: the Alexandria database
Functional: PBE
Structure: relaxed

The calculation puts the energy at -17.61 eV/f.u. The calculation puts the density of states at the Fermi level at 3.41 states/eV/f.u. The energy relative to the elements, uncorrected comes out at -0.190 eV/atom. The calculation puts the energy relative to the lowest polymorph listed for this composition at 15 meV/atom. The crystal system is monoclinic.

The structure belongs to space group Pm (No. 6); the cell edges are 4.928, 2.833 and 8.852 Å and the angles 90.00°, 90.33° and 90.00°. Symmetry generates all atoms from Ag at (0.000, 0.000, 0.000), Ag at (0.002, 0.000, 0.445), Ag at (0.004, 0.500, 0.721), Ag at (0.504, 0.500, 0.897), Ru at (0.494, 0.500, 0.375), Ru at (0.505, 0.000, 0.607), F at (0.227, 0.500, 0.194) and F at (0.687, 0.000, 0.210).

Compound: AgRuF7
Source: the Alexandria database
Functional: PBE
Structure: relaxed

The calculation puts the energy at -38.98 eV/f.u. The calculation puts the density of states at the Fermi level at 3.40 states/eV/f.u. The energy relative to the elements, uncorrected comes out at -1.528 eV/atom. The crystal system is monoclinic.

The structure belongs to space group P2_1/c (No. 14); the cell edges are 8.577, 5.661 and 12.725 Å and the angles 90.00°, 111.54° and 90.00°. Symmetry generates all atoms from Ag at (0.140, 0.212, 0.210), Ru at (0.289, 0.710, 0.064), F at (0.020, 0.581, 0.740), F at (0.053, 0.749, 0.500), F at (0.265, 0.537, 0.190), F at (0.272, 0.073, 0.486), F at (0.306, 0.502, 0.652), F at (0.313, 0.614, 0.447) and F at (0.477, 0.177, 0.366).